## a
PBE-GGA PrFeW, optimized geometry; symmetry = No. 216; magnetization = 1.8 μB/f.u.
1.0
6.3234 0.0000 0.0000
0.0000 6.3234 0.0000
0.0000 0.0000 6.3234
Pr Fe W
4 4 4
direct
0.0000 0.0000 0.0000
0.0000 0.5000 0.5000
0.5000 0.0000 0.5000
0.5000 0.5000 0.0000
0.2500 0.2500 0.2500
0.2500 0.7500 0.7500
0.7500 0.2500 0.7500
0.7500 0.7500 0.2500
0.2500 0.2500 0.7500
0.2500 0.7500 0.2500
0.7500 0.2500 0.2500
0.7500 0.7500 0.7500

## b
PBE-GGA PrFeW, optimized geometry; symmetry = No. 216; magnetization = 0.0 μB/f.u.
1.0
6.3171 0.0000 0.0000
0.0000 6.3171 0.0000
0.0000 0.0000 6.3171
Pr Fe W
4 4 4
direct
0.0000 0.0000 0.0000
0.0000 0.5000 0.5000
0.5000 0.0000 0.5000
0.5000 0.5000 0.0000
0.2500 0.2500 0.2500
0.2500 0.7500 0.7500
0.7500 0.2500 0.7500
0.7500 0.7500 0.2500
0.0000 0.0000 0.5000
0.0000 0.5000 0.0000
0.5000 0.0000 0.0000
0.5000 0.5000 0.5000

Stability, highest: b

## a
PBE-GGA RbFePt, optimized geometry; symmetry = No. 216; magnetization = 3.4 μB/f.u.
1.0
6.9820 0.0000 0.0000
0.0000 6.9820 0.0000
0.0000 0.0000 6.9820
Rb Fe Pt
4 4 4
direct
0.0000 0.0000 0.0000
0.0000 0.5000 0.5000
0.5000 0.0000 0.5000
0.5000 0.5000 0.0000
0.2500 0.2500 0.7500
0.2500 0.7500 0.2500
0.7500 0.2500 0.2500
0.7500 0.7500 0.7500
0.2500 0.2500 0.2500
0.2500 0.7500 0.7500
0.7500 0.2500 0.7500
0.7500 0.7500 0.2500

## b
PBE-GGA RbFePt, optimized geometry; symmetry = No. 216; magnetization = 3.3 μB/f.u.
1.0
6.5679 0.0000 0.0000
0.0000 6.5679 0.0000
0.0000 0.0000 6.5679
Rb Fe Pt
4 4 4
direct
0.0000 0.0000 0.0000
0.0000 0.5000 0.5000
0.5000 0.0000 0.5000
0.5000 0.5000 0.0000
0.2500 0.2500 0.7500
0.2500 0.7500 0.2500
0.7500 0.2500 0.2500
0.7500 0.7500 0.7500
0.0000 0.0000 0.5000
0.0000 0.5000 0.0000
0.5000 0.0000 0.0000
0.5000 0.5000 0.5000

Stability, highest: b

## a
PBE-GGA ScTlFePt, optimized geometry; symmetry = No. 216; magnetization = 2.8 μB/f.u.
1.0
6.5159 0.0000 0.0000
0.0000 6.5159 0.0000
0.0000 0.0000 6.5159
Sc Tl Fe Pt
4 4 4 4
direct
0.0000 0.0000 0.0000
0.0000 0.5000 0.5000
0.5000 0.0000 0.5000
0.5000 0.5000 0.0000
0.2500 0.2500 0.2500
0.2500 0.7500 0.7500
0.7500 0.2500 0.7500
0.7500 0.7500 0.2500
0.0000 0.0000 0.5000
0.0000 0.5000 0.0000
0.5000 0.0000 0.0000
0.5000 0.5000 0.5000
0.2500 0.2500 0.7500
0.2500 0.7500 0.2500
0.7500 0.2500 0.2500
0.7500 0.7500 0.7500

## b
PBE-GGA ScTlFePt, optimized geometry; symmetry = No. 216; magnetization = 2.0 μB/f.u.
1.0
6.5438 0.0000 0.0000
0.0000 6.5438 0.0000
0.0000 0.0000 6.5438
Sc Tl Fe Pt
4 4 4 4
direct
0.0000 0.0000 0.0000
0.0000 0.5000 0.5000
0.5000 0.0000 0.5000
0.5000 0.5000 0.0000
0.0000 0.0000 0.5000
0.0000 0.5000 0.0000
0.5000 0.0000 0.0000
0.5000 0.5000 0.5000
0.2500 0.2500 0.7500
0.2500 0.7500 0.2500
0.7500 0.2500 0.2500
0.7500 0.7500 0.7500
0.2500 0.2500 0.2500
0.2500 0.7500 0.7500
0.7500 0.2500 0.7500
0.7500 0.7500 0.2500

Stability, highest: b

## a
PBE-GGA YFeSiPt, optimized geometry; symmetry = No. 216; magnetization = 1.5 μB/f.u.
1.0
6.3949 0.0000 0.0000
0.0000 6.3949 0.0000
0.0000 0.0000 6.3949
Y Fe Si Pt
4 4 4 4
direct
0.0000 0.0000 0.0000
0.0000 0.5000 0.5000
0.5000 0.0000 0.5000
0.5000 0.5000 0.0000
0.2500 0.2500 0.7500
0.2500 0.7500 0.2500
0.7500 0.2500 0.2500
0.7500 0.7500 0.7500
0.0000 0.0000 0.5000
0.0000 0.5000 0.0000
0.5000 0.0000 0.0000
0.5000 0.5000 0.5000
0.2500 0.2500 0.2500
0.2500 0.7500 0.7500
0.7500 0.2500 0.7500
0.7500 0.7500 0.2500

## b
PBE-GGA YFeSiPt, optimized geometry; symmetry = No. 216; magnetization = 3.0 μB/f.u.
1.0
6.5446 0.0000 0.0000
0.0000 6.5446 0.0000
0.0000 0.0000 6.5446
Y Fe Si Pt
4 4 4 4
direct
0.0000 0.0000 0.0000
0.0000 0.5000 0.5000
0.5000 0.0000 0.5000
0.5000 0.5000 0.0000
0.0000 0.0000 0.5000
0.0000 0.5000 0.0000
0.5000 0.0000 0.0000
0.5000 0.5000 0.5000
0.2500 0.2500 0.2500
0.2500 0.7500 0.7500
0.7500 0.2500 0.7500
0.7500 0.7500 0.2500
0.2500 0.2500 0.7500
0.2500 0.7500 0.2500
0.7500 0.2500 0.2500
0.7500 0.7500 0.7500

Stability, highest: a

## a
PBE-GGA ZrFeSiPt, optimized geometry; symmetry = No. 216; magnetization = 2.5 μB/f.u.
1.0
6.3400 0.0000 0.0000
0.0000 6.3400 0.0000
0.0000 0.0000 6.3400
Zr Fe Si Pt
4 4 4 4
direct
0.0000 0.0000 0.0000
0.0000 0.5000 0.5000
0.5000 0.0000 0.5000
0.5000 0.5000 0.0000
0.0000 0.0000 0.5000
0.0000 0.5000 0.0000
0.5000 0.0000 0.0000
0.5000 0.5000 0.5000
0.2500 0.2500 0.2500
0.2500 0.7500 0.7500
0.7500 0.2500 0.7500
0.7500 0.7500 0.2500
0.2500 0.2500 0.7500
0.2500 0.7500 0.2500
0.7500 0.2500 0.2500
0.7500 0.7500 0.7500

## b
PBE-GGA ZrFeSiPt, optimized geometry; symmetry = No. 216; magnetization = 1.9 μB/f.u.
1.0
6.2602 0.0000 0.0000
0.0000 6.2602 0.0000
0.0000 0.0000 6.2602
Zr Fe Si Pt
4 4 4 4
direct
0.0000 0.0000 0.0000
0.0000 0.5000 0.5000
0.5000 0.0000 0.5000
0.5000 0.5000 0.0000
0.2500 0.2500 0.7500
0.2500 0.7500 0.2500
0.7500 0.2500 0.2500
0.7500 0.7500 0.7500
0.0000 0.0000 0.5000
0.0000 0.5000 0.0000
0.5000 0.0000 0.0000
0.5000 0.5000 0.5000
0.2500 0.2500 0.2500
0.2500 0.7500 0.7500
0.7500 0.2500 0.7500
0.7500 0.7500 0.2500

Stability, highest: b

## a
PBE-GGA TaFeSnPt, optimized geometry; symmetry = No. 216; magnetization = 1.7 μB/f.u.
1.0
6.4195 0.0000 0.0000
0.0000 6.4195 0.0000
0.0000 0.0000 6.4195
Ta Fe Sn Pt
4 4 4 4
direct
0.0000 0.0000 0.0000
0.0000 0.5000 0.5000
0.5000 0.0000 0.5000
0.5000 0.5000 0.0000
0.2500 0.2500 0.7500
0.2500 0.7500 0.2500
0.7500 0.2500 0.2500
0.7500 0.7500 0.7500
0.0000 0.0000 0.5000
0.0000 0.5000 0.0000
0.5000 0.0000 0.0000
0.5000 0.5000 0.5000
0.2500 0.2500 0.2500
0.2500 0.7500 0.7500
0.7500 0.2500 0.7500
0.7500 0.7500 0.2500

## b
PBE-GGA TaFeSnPt, optimized geometry; symmetry = No. 216; magnetization = 1.8 μB/f.u.
1.0
6.4411 0.0000 0.0000
0.0000 6.4411 0.0000
0.0000 0.0000 6.4411
Ta Fe Sn Pt
4 4 4 4
direct
0.0000 0.0000 0.0000
0.0000 0.5000 0.5000
0.5000 0.0000 0.5000
0.5000 0.5000 0.0000
0.0000 0.0000 0.5000
0.0000 0.5000 0.0000
0.5000 0.0000 0.0000
0.5000 0.5000 0.5000
0.2500 0.2500 0.2500
0.2500 0.7500 0.7500
0.7500 0.2500 0.7500
0.7500 0.7500 0.2500
0.2500 0.2500 0.7500
0.2500 0.7500 0.2500
0.7500 0.2500 0.2500
0.7500 0.7500 0.7500

Stability, highest: a

## a
PBE-GGA ZrFeSnPt, optimized geometry; symmetry = No. 216; magnetization = 2.5 μB/f.u.
1.0
6.6056 0.0000 0.0000
0.0000 6.6056 0.0000
0.0000 0.0000 6.6056
Zr Fe Sn Pt
4 4 4 4
direct
0.0000 0.0000 0.0000
0.0000 0.5000 0.5000
0.5000 0.0000 0.5000
0.5000 0.5000 0.0000
0.0000 0.0000 0.5000
0.0000 0.5000 0.0000
0.5000 0.0000 0.0000
0.5000 0.5000 0.5000
0.2500 0.2500 0.2500
0.2500 0.7500 0.7500
0.7500 0.2500 0.7500
0.7500 0.7500 0.2500
0.2500 0.2500 0.7500
0.2500 0.7500 0.2500
0.7500 0.2500 0.2500
0.7500 0.7500 0.7500

## b
PBE-GGA ZrFeSnPt, optimized geometry; symmetry = No. 216; magnetization = 1.8 μB/f.u.
1.0
6.5306 0.0000 0.0000
0.0000 6.5306 0.0000
0.0000 0.0000 6.5306
Zr Fe Sn Pt
4 4 4 4
direct
0.0000 0.0000 0.0000
0.0000 0.5000 0.5000
0.5000 0.0000 0.5000
0.5000 0.5000 0.0000
0.2500 0.2500 0.7500
0.2500 0.7500 0.2500
0.7500 0.2500 0.2500
0.7500 0.7500 0.7500
0.0000 0.0000 0.5000
0.0000 0.5000 0.0000
0.5000 0.0000 0.0000
0.5000 0.5000 0.5000
0.2500 0.2500 0.2500
0.2500 0.7500 0.7500
0.7500 0.2500 0.7500
0.7500 0.7500 0.2500

Stability, highest: b

## a
PBE-GGA TaTlFePt, optimized geometry; symmetry = No. 216; magnetization = 1.9 μB/f.u.
1.0
6.4571 0.0000 0.0000
0.0000 6.4571 0.0000
0.0000 0.0000 6.4571
Ta Tl Fe Pt
4 4 4 4
direct
0.0000 0.0000 0.0000
0.0000 0.5000 0.5000
0.5000 0.0000 0.5000
0.5000 0.5000 0.0000
0.0000 0.0000 0.5000
0.0000 0.5000 0.0000
0.5000 0.0000 0.0000
0.5000 0.5000 0.5000
0.2500 0.2500 0.7500
0.2500 0.7500 0.2500
0.7500 0.2500 0.2500
0.7500 0.7500 0.7500
0.2500 0.2500 0.2500
0.2500 0.7500 0.7500
0.7500 0.2500 0.7500
0.7500 0.7500 0.2500

## b
PBE-GGA TaTlFePt, optimized geometry; symmetry = No. 216; magnetization = 2.4 μB/f.u.
1.0
6.4986 0.0000 0.0000
0.0000 6.4986 0.0000
0.0000 0.0000 6.4986
Ta Tl Fe Pt
4 4 4 4
direct
0.0000 0.0000 0.0000
0.0000 0.5000 0.5000
0.5000 0.0000 0.5000
0.5000 0.5000 0.0000
0.2500 0.2500 0.2500
0.2500 0.7500 0.7500
0.7500 0.2500 0.7500
0.7500 0.7500 0.2500
0.0000 0.0000 0.5000
0.0000 0.5000 0.0000
0.5000 0.0000 0.0000
0.5000 0.5000 0.5000
0.2500 0.2500 0.7500
0.2500 0.7500 0.2500
0.7500 0.2500 0.2500
0.7500 0.7500 0.7500

Stability, highest: a

## a
PBE-GGA TaZnFePt, optimized geometry; symmetry = No. 216; magnetization = 1.1 μB/f.u.
1.0
6.1633 0.0000 0.0000
0.0000 6.1633 0.0000
0.0000 0.0000 6.1633
Ta Zn Fe Pt
4 4 4 4
direct
0.0000 0.0000 0.0000
0.0000 0.5000 0.5000
0.5000 0.0000 0.5000
0.5000 0.5000 0.0000
0.0000 0.0000 0.5000
0.0000 0.5000 0.0000
0.5000 0.0000 0.0000
0.5000 0.5000 0.5000
0.2500 0.2500 0.7500
0.2500 0.7500 0.2500
0.7500 0.2500 0.2500
0.7500 0.7500 0.7500
0.2500 0.2500 0.2500
0.2500 0.7500 0.7500
0.7500 0.2500 0.7500
0.7500 0.7500 0.2500

## b
PBE-GGA TaZnFePt, optimized geometry; symmetry = No. 216; magnetization = 3.0 μB/f.u.
1.0
6.2393 0.0000 0.0000
0.0000 6.2393 0.0000
0.0000 0.0000 6.2393
Ta Zn Fe Pt
4 4 4 4
direct
0.0000 0.0000 0.0000
0.0000 0.5000 0.5000
0.5000 0.0000 0.5000
0.5000 0.5000 0.0000
0.2500 0.2500 0.2500
0.2500 0.7500 0.7500
0.7500 0.2500 0.7500
0.7500 0.7500 0.2500
0.0000 0.0000 0.5000
0.0000 0.5000 0.0000
0.5000 0.0000 0.0000
0.5000 0.5000 0.5000
0.2500 0.2500 0.7500
0.2500 0.7500 0.2500
0.7500 0.2500 0.2500
0.7500 0.7500 0.7500

Stability, highest: a

## a
PBE-GGA YTlFePt, optimized geometry; symmetry = No. 216; magnetization = 2.3 μB/f.u.
1.0
6.6969 0.0000 0.0000
0.0000 6.6969 0.0000
0.0000 0.0000 6.6969
Y Tl Fe Pt
4 4 4 4
direct
0.0000 0.0000 0.0000
0.0000 0.5000 0.5000
0.5000 0.0000 0.5000
0.5000 0.5000 0.0000
0.0000 0.0000 0.5000
0.0000 0.5000 0.0000
0.5000 0.0000 0.0000
0.5000 0.5000 0.5000
0.2500 0.2500 0.7500
0.2500 0.7500 0.2500
0.7500 0.2500 0.2500
0.7500 0.7500 0.7500
0.2500 0.2500 0.2500
0.2500 0.7500 0.7500
0.7500 0.2500 0.7500
0.7500 0.7500 0.2500

## b
PBE-GGA YTlFePt, optimized geometry; symmetry = No. 216; magnetization = 2.9 μB/f.u.
1.0
6.7590 0.0000 0.0000
0.0000 6.7590 0.0000
0.0000 0.0000 6.7590
Y Tl Fe Pt
4 4 4 4
direct
0.0000 0.0000 0.0000
0.0000 0.5000 0.5000
0.5000 0.0000 0.5000
0.5000 0.5000 0.0000
0.2500 0.2500 0.2500
0.2500 0.7500 0.7500
0.7500 0.2500 0.7500
0.7500 0.7500 0.2500
0.0000 0.0000 0.5000
0.0000 0.5000 0.0000
0.5000 0.0000 0.0000
0.5000 0.5000 0.5000
0.2500 0.2500 0.7500
0.2500 0.7500 0.2500
0.7500 0.2500 0.2500
0.7500 0.7500 0.7500

Stability, highest: a

## a
PBE-GGA ZnFePtW, optimized geometry; symmetry = No. 216; magnetization = 2.1 μB/f.u.
1.0
6.1508 0.0000 0.0000
0.0000 6.1508 0.0000
0.0000 0.0000 6.1508
Zn Fe Pt W
4 4 4 4
direct
0.0000 0.0000 0.0000
0.0000 0.5000 0.5000
0.5000 0.0000 0.5000
0.5000 0.5000 0.0000
0.2500 0.2500 0.2500
0.2500 0.7500 0.7500
0.7500 0.2500 0.7500
0.7500 0.7500 0.2500
0.0000 0.0000 0.5000
0.0000 0.5000 0.0000
0.5000 0.0000 0.0000
0.5000 0.5000 0.5000
0.2500 0.2500 0.7500
0.2500 0.7500 0.2500
0.7500 0.2500 0.2500
0.7500 0.7500 0.7500

## b
PBE-GGA ZnFePtW, optimized geometry; symmetry = No. 216; magnetization = 1.9 μB/f.u.
1.0
6.1255 0.0000 0.0000
0.0000 6.1255 0.0000
0.0000 0.0000 6.1255
Zn Fe Pt W
4 4 4 4
direct
0.0000 0.0000 0.0000
0.0000 0.5000 0.5000
0.5000 0.0000 0.5000
0.5000 0.5000 0.0000
0.2500 0.2500 0.2500
0.2500 0.7500 0.7500
0.7500 0.2500 0.7500
0.7500 0.7500 0.2500
0.2500 0.2500 0.7500
0.2500 0.7500 0.2500
0.7500 0.2500 0.2500
0.7500 0.7500 0.7500
0.0000 0.0000 0.5000
0.0000 0.5000 0.0000
0.5000 0.0000 0.0000
0.5000 0.5000 0.5000

Stability, highest: b

## a
PBE-GGA ZrZnFePt, optimized geometry; symmetry = No. 216; magnetization = 3.2 μB/f.u.
1.0
6.4007 0.0000 0.0000
0.0000 6.4007 0.0000
0.0000 0.0000 6.4007
Zr Zn Fe Pt
4 4 4 4
direct
0.0000 0.0000 0.0000
0.0000 0.5000 0.5000
0.5000 0.0000 0.5000
0.5000 0.5000 0.0000
0.2500 0.2500 0.2500
0.2500 0.7500 0.7500
0.7500 0.2500 0.7500
0.7500 0.7500 0.2500
0.0000 0.0000 0.5000
0.0000 0.5000 0.0000
0.5000 0.0000 0.0000
0.5000 0.5000 0.5000
0.2500 0.2500 0.7500
0.2500 0.7500 0.2500
0.7500 0.2500 0.2500
0.7500 0.7500 0.7500

## b
PBE-GGA ZrZnFePt, optimized geometry; symmetry = No. 216; magnetization = 1.2 μB/f.u.
1.0
6.3053 0.0000 0.0000
0.0000 6.3053 0.0000
0.0000 0.0000 6.3053
Zr Zn Fe Pt
4 4 4 4
direct
0.0000 0.0000 0.0000
0.0000 0.5000 0.5000
0.5000 0.0000 0.5000
0.5000 0.5000 0.0000
0.0000 0.0000 0.5000
0.0000 0.5000 0.0000
0.5000 0.0000 0.0000
0.5000 0.5000 0.5000
0.2500 0.2500 0.7500
0.2500 0.7500 0.2500
0.7500 0.2500 0.2500
0.7500 0.7500 0.7500
0.2500 0.2500 0.2500
0.2500 0.7500 0.7500
0.7500 0.2500 0.7500
0.7500 0.7500 0.2500

Stability, highest: b

## a
PBE-GGA Rb3Fe, optimized geometry; symmetry = No. 194; magnetization = 3.0 μB/f.u.
1.0
8.6159 0.0000 0.0000
-4.3080 7.4616 0.0000
0.0000 0.0000 6.6094
Rb Fe
6 2
direct
0.1793 0.3586 0.2500
0.1793 0.8207 0.2500
0.3586 0.1793 0.7500
0.6414 0.8207 0.2500
0.8207 0.1793 0.7500
0.8207 0.6414 0.7500
0.3333 0.6667 0.7500
0.6667 0.3333 0.2500

## b
PBE-GGA Rb3Fe, optimized geometry; symmetry = No. 123; magnetization = 3.1 μB/f.u.
1.0
6.0403 0.0000 0.0000
0.0000 6.0403 0.0000
0.0000 0.0000 6.0532
Rb Fe
3 1
direct
0.0000 0.0000 0.0000
0.0000 0.5000 0.5000
0.5000 0.0000 0.5000
0.5000 0.5000 0.0000

## c
PBE-GGA Rb3Fe, optimized geometry; symmetry = No. 63; magnetization = 3.0 μB/f.u.
1.0
6.6478 0.0000 0.0000
0.0000 11.5765 0.0000
0.0000 0.0000 11.4240
Rb Fe
12 4
direct
0.0000 0.0006 0.2500
0.0000 0.3335 0.0674
0.0000 0.3335 0.4326
0.0000 0.6665 0.5674
0.0000 0.6665 0.9326
0.0000 0.9994 0.7500
0.5000 0.1665 0.5674
0.5000 0.1665 0.9326
0.5000 0.4994 0.7500
0.5000 0.5006 0.2500
0.5000 0.8335 0.0674
0.5000 0.8335 0.4326
0.0000 0.3324 0.7500
0.0000 0.6676 0.2500
0.5000 0.1676 0.2500
0.5000 0.8324 0.7500

Stability, highest: c

## a
PBE-GGA RbFe, optimized geometry; symmetry = No. 123; magnetization = 3.2 μB/f.u.
1.0
3.5442 0.0000 0.0000
0.0000 3.5442 0.0000
0.0000 0.0000 5.1757
Rb Fe
1 1
direct
0.0000 0.0000 0.0000
0.5000 0.5000 0.5000

## b
PBE-GGA RbFe, optimized geometry; symmetry = No. 186; magnetization = 3.0 μB/f.u.
1.0
5.6263 0.0000 0.0000
-2.8131 4.8725 0.0000
0.0000 0.0000 9.1306
Rb Fe
2 2
direct
0.3333 0.6667 0.0000
0.6667 0.3333 0.5000
0.3333 0.6667 0.6240
0.6667 0.3333 0.1240

## c
PBE-GGA RbFe, optimized geometry; symmetry = No. 194; magnetization = 3.0 μB/f.u.
1.0
4.8035 0.0000 0.0000
-2.4017 4.1599 0.0000
0.0000 0.0000 8.8460
Rb Fe
2 2
direct
0.0000 0.0000 0.0000
0.0000 0.0000 0.5000
0.3333 0.6667 0.2500
0.6667 0.3333 0.7500

## d
PBE-GGA RbFe, optimized geometry; symmetry = No. 225; magnetization = 3.0 μB/f.u.
1.0
7.1640 0.0000 0.0000
0.0000 7.1640 0.0000
0.0000 0.0000 7.1640
Rb Fe
4 4
direct
0.0000 0.0000 0.0000
0.0000 0.5000 0.5000
0.5000 0.0000 0.5000
0.5000 0.5000 0.0000
0.0000 0.0000 0.5000
0.0000 0.5000 0.0000
0.5000 0.0000 0.0000
0.5000 0.5000 0.5000

Stability, highest: a